Entry 1:
First-principles (PBE) data for LiZr2SnN after structural relaxation, as listed in Alexandria via LeMat-Bulk.

Cell and atoms, written as CIF:
```
data_LiZr2SnN
_space_group_name_H-M_alt 'P 4/m m m'
_space_group_IT_number 123
_space_group_name_Hall '-P 4 2'
_cell_length_a 4.492
_cell_length_b 4.492
_cell_length_c 4.240
_cell_angle_alpha 90.00
_cell_angle_beta 90.00
_cell_angle_gamma 90.00
loop_
_atom_site_label
_atom_site_fract_x
_atom_site_fract_y
_atom_site_fract_z
Li1 0.000 0.000 0.000
Zr1 0.000 0.500 0.500
Sn1 0.500 0.500 0.000
N1 0.000 0.000 0.500
```

Results
Formation energy from raw total energies   -0.87 eV/atom


Entry 2:
First-principles (PBE) data for Sc3Ga2Cu2 after structural relaxation, as listed in Alexandria via LeMat-Bulk.

Cell and atoms, written as CIF:
```
data_Sc3Ga2Cu2
_space_group_name_H-M_alt 'I m m m'
_space_group_IT_number 71
_space_group_name_Hall '-I 2 2'
_cell_length_a 3.360
_cell_length_b 4.261
_cell_length_c 17.691
_cell_angle_alpha 90.00
_cell_angle_beta 90.00
_cell_angle_gamma 90.00
loop_
_atom_site_label
_atom_site_fract_x
_atom_site_fract_y
_atom_site_fract_z
Sc1 0.000 0.000 0.000
Sc2 0.000 0.500 0.192
Ga1 0.000 0.500 0.357
Cu1 0.000 0.000 0.433
```

Results
Energy of formation   -0.45 eV per atom


Entry 3:
First-principles (PBE) data for RbHf3Sc after structural relaxation, as listed in Alexandria via LeMat-Bulk.

Cell and atoms, written as CIF:
```
data_RbHf3Sc
_space_group_name_H-M_alt 'P m -3 m'
_space_group_IT_number 221
_space_group_name_Hall '-P 4 2 3'
_cell_length_a 5.337
_cell_length_b 5.337
_cell_length_c 5.337
_cell_angle_alpha 90.00
_cell_angle_beta 90.00
_cell_angle_gamma 90.00
loop_
_atom_site_label
_atom_site_fract_x
_atom_site_fract_y
_atom_site_fract_z
Rb1 0.000 0.000 0.000
Hf1 0.000 0.500 0.500
Sc1 0.500 0.500 0.500
```

Results
Offset from the most stable computed form   0.0 meV/atom
Energy of formation   1.46 eV per atom


Entry 4:
First-principles (PBE) data for Zr3ZnSn after structural relaxation, as listed in Alexandria via LeMat-Bulk.

Cell and atoms, written as CIF:
```
data_Zr3ZnSn
_space_group_name_H-M_alt 'P 63/m m c'
_space_group_IT_number 194
_space_group_name_Hall '-P 6c 2c'
_cell_length_a 6.8979
_cell_length_b 6.8979
_cell_length_c 5.4116
_cell_angle_alpha 90.00
_cell_angle_beta 90.00
_cell_angle_gamma 120.00
loop_
_atom_site_label
_atom_site_fract_x
_atom_site_fract_y
_atom_site_fract_z
Zr1 0.1893 0.3786 0.2500
Zn1 0.0000 0.0000 0.0000
Sn1 0.3333 0.6667 0.7500
```

Results
Offset from the most stable computed form   0.0 meV/atom
Energy of formation   -0.06 eV per atom


Entry 5:
First-principles (PBE) data for Ta2Be2Tl after structural relaxation, as listed in Alexandria via LeMat-Bulk.

Cell and atoms, written as CIF:
```
data_Ta2Be2Tl
_space_group_name_H-M_alt 'P 4/m b m'
_space_group_IT_number 127
_space_group_name_Hall '-P 4 2ab'
_cell_length_a 6.345
_cell_length_b 6.345
_cell_length_c 3.645
_cell_angle_alpha 90.00
_cell_angle_beta 90.00
_cell_angle_gamma 90.00
loop_
_atom_site_label
_atom_site_fract_x
_atom_site_fract_y
_atom_site_fract_z
Ta1 0.172 0.328 0.000
Be1 0.113 0.613 0.500
Tl1 0.000 0.000 0.500
```

Results
Energy of formation   0.17 eV per atom


Entry 6:
First-principles (PBE) data for Er2PuSc8 after structural relaxation, as listed in Alexandria via LeMat-Bulk.

Cell and atoms, written as CIF:
```
data_Er2PuSc8
_space_group_name_H-M_alt 'C 1 2/m 1'
_space_group_IT_number 12
_cell_length_a 16.512
_cell_length_b 5.116
_cell_length_c 7.415
_cell_angle_alpha 90.00
_cell_angle_beta 115.04
_cell_angle_gamma 90.00
loop_
_space_group_symop_operation_xyz
'x,y,z'
'-x,-y,-z'
'-x,y,-z'
'x,-y,z'
'x+1/2,y+1/2,z'
'-x+1/2,-y+1/2,-z'
'-x+1/2,y+1/2,-z'
'x+1/2,-y+1/2,z'
loop_
_atom_site_label
_atom_site_fract_x
_atom_site_fract_y
_atom_site_fract_z
Er1 0.202 0.000 0.184
Pu1 0.000 0.500 0.500
Sc1 0.007 0.000 0.219
Sc2 0.122 0.500 0.926
Sc3 0.143 0.500 0.363
Sc4 0.161 0.000 0.673
```

Results
Energy of formation   0.13 eV per atom


Entry 7:
First-principles (PBE) data for Ho2MgZnAu4 after structural relaxation, as listed in Alexandria via LeMat-Bulk.

Cell and atoms, written as CIF:
```
data_Ho2MgZnAu4
_space_group_name_H-M_alt 'R -3 m'
_space_group_IT_number 166
_space_group_name_Hall '-R 3 2"'
_cell_length_a 4.8772
_cell_length_b 4.8772
_cell_length_c 23.5554
_cell_angle_alpha 90.00
_cell_angle_beta 90.00
_cell_angle_gamma 120.00
loop_
_atom_site_label
_atom_site_fract_x
_atom_site_fract_y
_atom_site_fract_z
Ho1 0.0000 0.0000 0.2465
Mg1 0.0000 0.0000 0.0000
Zn1 0.0000 0.0000 0.5000
Au1 0.0000 0.0000 0.1215
Au2 0.0000 0.0000 0.3740
```

Results
Energy of formation   -0.71 eV per atom


Entry 8:
First-principles (PBE) data for RbSrTlBi after structural relaxation, as listed in Alexandria via LeMat-Bulk.

Cell and atoms, written as CIF:
```
data_RbSrTlBi
_space_group_name_H-M_alt 'F -4 3 m'
_space_group_IT_number 216
_space_group_name_Hall 'F -4 2 3'
_cell_length_a 8.515
_cell_length_b 8.515
_cell_length_c 8.515
_cell_angle_alpha 90.00
_cell_angle_beta 90.00
_cell_angle_gamma 90.00
loop_
_atom_site_label
_atom_site_fract_x
_atom_site_fract_y
_atom_site_fract_z
Rb1 0.000 0.000 0.000
Sr1 0.000 0.000 0.500
Tl1 0.250 0.250 0.750
Bi1 0.250 0.250 0.250
```

Results
Energy of formation   -0.34 eV per atom


Entry 9:
First-principles (PBE) data for BaTaSe2 after structural relaxation, as listed in Alexandria via LeMat-Bulk.

Cell and atoms, written as CIF:
```
data_BaTaSe2
_space_group_name_H-M_alt 'R 3 m'
_space_group_IT_number 160
_space_group_name_Hall 'R 3 -2"'
_cell_length_a 3.6210
_cell_length_b 3.6210
_cell_length_c 29.8332
_cell_angle_alpha 90.00
_cell_angle_beta 90.00
_cell_angle_gamma 120.00
loop_
_atom_site_label
_atom_site_fract_x
_atom_site_fract_y
_atom_site_fract_z
Ba1 0.0000 0.0000 0.0000
Ta1 0.0000 0.0000 0.2270
Se1 0.0000 0.0000 0.5102
Se2 0.0000 0.0000 0.7427
```

Results
Offset from the most stable computed form   835.8 meV/atom
Formation energy from raw total energies   0.01 eV/atom


Entry 10:
First-principles (PBE) data for RbTl2OsO6 after structural relaxation, as listed in Alexandria via LeMat-Bulk.

Cell and atoms, written as CIF:
```
data_RbTl2OsO6
_space_group_name_H-M_alt 'P -3 m 1'
_space_group_IT_number 164
_space_group_name_Hall '-P 3 2"'
_cell_length_a 6.2389
_cell_length_b 6.2389
_cell_length_c 7.1442
_cell_angle_alpha 90.00
_cell_angle_beta 90.00
_cell_angle_gamma 120.00
loop_
_atom_site_label
_atom_site_fract_x
_atom_site_fract_y
_atom_site_fract_z
Rb1 0.0000 0.0000 0.0000
Tl1 0.3333 0.6667 0.5000
Os1 0.0000 0.0000 0.5000
O1 0.1422 0.2845 0.3462
```

Results
Formation energy from raw total energies   -0.91 eV/atom


Entry 11:
First-principles (PBE) data for HoAgHg2 after structural relaxation, as listed in Alexandria via LeMat-Bulk.

Cell and atoms, written as CIF:
```
data_HoAgHg2
_space_group_name_H-M_alt 'P 4/m m m'
_space_group_IT_number 123
_space_group_name_Hall '-P 4 2'
_cell_length_a 3.562
_cell_length_b 3.562
_cell_length_c 7.106
_cell_angle_alpha 90.00
_cell_angle_beta 90.00
_cell_angle_gamma 90.00
loop_
_atom_site_label
_atom_site_fract_x
_atom_site_fract_y
_atom_site_fract_z
Ho1 0.000 0.000 0.000
Ag1 0.000 0.000 0.500
Hg1 0.500 0.500 0.268
```

Results
Energy of formation   -0.23 eV per atom


Entry 12:
First-principles (PBE) data for Tl3SnF6 after structural relaxation, as listed in Alexandria via LeMat-Bulk.

Cell and atoms, written as CIF:
```
data_Tl3SnF6
_space_group_name_H-M_alt 'C m c 21'
_space_group_IT_number 36
_cell_length_a 9.372
_cell_length_b 14.354
_cell_length_c 6.331
_cell_angle_alpha 90.00
_cell_angle_beta 90.00
_cell_angle_gamma 90.00
loop_
_space_group_symop_operation_xyz
'x,y,z'
'-x,-y,z+1/2'
'-x,y,z'
'x,-y,z+1/2'
'x+1/2,y+1/2,z'
'-x+1/2,-y+1/2,z+1/2'
'-x+1/2,y+1/2,z'
'x+1/2,-y+1/2,z+1/2'
loop_
_atom_site_label
_atom_site_fract_x
_atom_site_fract_y
_atom_site_fract_z
Tl1 0.000 0.106 0.000
Tl2 0.220 0.392 0.000
Sn1 0.000 0.336 0.595
F1 0.000 0.189 0.589
F2 0.000 0.481 0.552
F3 0.163 0.326 0.388
F4 0.164 0.005 0.741
```

Results
Formation energy from raw total energies   -1.93 eV/atom


no.,total energy (eV/cell)
1,-35.67
2,-72.74
3,-29.88
4,-62.42
5,-65.33
6,-145.33
7,-92.55
8,-40.96
9,-62.08
10,-55.75
11,-8.96
12,-166.62